Entry 1:
Entry from Alexandria: a geometry-optimized TaAg2Ir structure (PBE).

As for the density: 14.28 g/cm³. For the offset from the most stable computed form, the calculation gives 156 meV per atom.

It has space group P2/m (No. 10), with a = 2.881 Å, b = 5.071 Å, c = 4.690 Å, α = 90.00°, β = 91.66° and γ = 90.00°. The inequivalent atoms are Ta at (0.000, 0.000, 0.000), Ag at (0.262, 0.500, 0.749) and Ir at (0.500, 0.000, 0.500).


Entry 2:
Entry from Alexandria: a geometry-optimized CaSi structure (PBE).

As for the density: 2.03 g/cm³. The energy relative to the elements, uncorrected comes out at 0.20 eV/atom.

It has space group Fm-3m (No. 225), with a = 6.061 Å, b = 6.061 Å, c = 6.061 Å, α = 90.00°, β = 90.00° and γ = 90.00°. The inequivalent atoms are Ca at (0.000, 0.000, 0.000) and Si at (0.000, 0.000, 0.500).


Entry 3:
Entry from Alexandria: a geometry-optimized Dy2MgAl2Ni5 structure (PBE).

As for the density: 7.17 g/cm³.

It has space group P4/mbm (No. 127), with a = 9.578 Å, b = 9.578 Å, c = 3.520 Å, α = 90.00°, β = 90.00° and γ = 90.00°. The inequivalent atoms are Dy at (0.182, 0.318, 0.000), Mg at (0.000, 0.000, 0.000), Al at (0.114, 0.614, 0.000), Ni at (0.000, 0.500, 0.500) and Ni at (0.062, 0.780, 0.500).


Entry 4:
Entry from Alexandria: a geometry-optimized RbGa2I6 structure (PBE).

As for the density: 3.24 g/cm³. The energy relative to the elements, uncorrected comes out at -0.65 eV/atom.

It has space group C2/c (No. 15), with a = 16.943 Å, b = 14.595 Å, c = 8.942 Å, α = 90.00°, β = 113.75° and γ = 90.00°. The inequivalent atoms are Rb at (0.000, 0.160, 0.250), Ga at (0.221, 0.417, 0.209), I at (0.111, 0.058, 0.671), I at (0.154, 0.500, 0.408) and I at (0.189, 0.241, 0.186).


Entry 5:
Entry from Alexandria: a geometry-optimized SrAcC structure (PBE).

As for the density: 5.84 g/cm³. For the offset from the most stable computed form, the calculation gives 80 meV per atom.

It has space group P4/nmm (No. 129, origin choice 2), with a = 4.876 Å, b = 4.876 Å, c = 7.808 Å, α = 90.00°, β = 90.00° and γ = 90.00°. The inequivalent atoms are Sr at (0.250, 0.250, 0.190), Ac at (0.250, 0.250, 0.632) and C at (0.250, 0.750, 0.500).


Entry 6:
Entry from Alexandria: a geometry-optimized YCr3Co structure (PBE).

As for the density: 5.61 g/cm³. For the offset from the most stable computed form, the calculation gives 0 meV per atom.

It has space group Pm-3m (No. 221), with a = 4.481 Å, b = 4.481 Å, c = 4.481 Å, α = 90.00°, β = 90.00° and γ = 90.00°. The inequivalent atoms are Y at (0.000, 0.000, 0.000), Cr at (0.000, 0.500, 0.500) and Co at (0.500, 0.500, 0.500).


Entry 7:
Entry from Alexandria: a geometry-optimized MgTcSn3 structure (PBE).

As for the density: 5.62 g/cm³. For the offset from the most stable computed form, the calculation gives 232 meV per atom.

It has space group Pm-3m (No. 221), with a = 5.210 Å, b = 5.210 Å, c = 5.210 Å, α = 90.00°, β = 90.00° and γ = 90.00°. The inequivalent atoms are Mg at (0.000, 0.000, 0.000), Tc at (0.500, 0.500, 0.500) and Sn at (0.000, 0.500, 0.500).


Entry 8:
Entry from Alexandria: a geometry-optimized Sr2B4C structure (PBE).

As for the density: 3.36 g/cm³.

It has space group I4/mmm (No. 139), with a = 4.140 Å, b = 4.140 Å, c = 13.306 Å, α = 90.00°, β = 90.00° and γ = 90.00°. The inequivalent atoms are Sr at (0.000, 0.000, 0.153), B at (0.000, 0.000, 0.390), B at (0.000, 0.500, 0.000) and C at (0.000, 0.000, 0.500).


Entry 9:
Entry from Alexandria: a geometry-optimized HfB2H2 structure (PBE).

As for the density: 7.09 g/cm³. For the offset from the most stable computed form, the calculation gives 704 meV per atom.

It has space group P4/mbm (No. 127), with a = 5.816 Å, b = 5.816 Å, c = 2.799 Å, α = 90.00°, β = 90.00° and γ = 90.00°. The inequivalent atoms are Hf at (0.000, 0.000, 0.000), B at (0.099, 0.401, 0.000) and H at (0.106, 0.606, 0.500).


Entry 10:
Entry from Alexandria: a geometry-optimized Ag5PdAu8 structure (PBE).

As for the density: 13.84 g/cm³.

It has space group I-4 (No. 82), with a = 8.079 Å, b = 8.079 Å, c = 8.167 Å, α = 90.00°, β = 90.00° and γ = 90.00°. The inequivalent atoms are Ag at (0.000, 0.000, 0.000), Ag at (0.112, 0.702, 0.661), Pd at (0.000, 0.500, 0.250), Au at (0.063, 0.834, 0.328) and Au at (0.112, 0.680, 0.999).


Entry 11:
Entry from Alexandria: a geometry-optimized YSiSe4 structure (PBE).

As for the density: 4.17 g/cm³. For the offset from the most stable computed form, the calculation gives 0 meV per atom. The energy relative to the elements, uncorrected comes out at -0.82 eV/atom.

It has space group I4_1/amd (No. 141, origin choice 2), with a = 9.431 Å, b = 9.431 Å, c = 7.752 Å, α = 90.00°, β = 90.00° and γ = 90.00°. The inequivalent atoms are Y at (0.000, 0.250, 0.375), Si at (0.000, 0.250, 0.875) and Se at (0.000, 0.068, 0.680).


Entry 12:
Entry from Alexandria: a geometry-optimized Sr2GeSbPd6 structure (PBE).

As for the density: 7.48 g/cm³. The energy relative to the elements, uncorrected comes out at -0.62 eV/atom.

It has space group P-1 (No. 2), with a = 5.705 Å, b = 6.766 Å, c = 7.017 Å, α = 84.08°, β = 66.02° and γ = 65.12°. The inequivalent atoms are Sr at (0.032, 0.218, 0.219), Ge at (0.500, 0.000, 0.500), Sb at (0.500, 0.500, 0.000), Pd at (0.011, 0.255, 0.727), Pd at (0.364, 0.383, 0.391) and Pd at (0.495, 0.745, 0.272).


Entry 13:
Entry from Alexandria: a geometry-optimized TmLuMnBe structure (PBE).

As for the density: 8.67 g/cm³.

It has space group F-43m (No. 216), with a = 6.786 Å, b = 6.786 Å, c = 6.786 Å, α = 90.00°, β = 90.00° and γ = 90.00°. The inequivalent atoms are Tm at (0.000, 0.000, 0.000), Lu at (0.000, 0.000, 0.500), Mn at (0.250, 0.250, 0.250) and Be at (0.250, 0.250, 0.750).


Entry 14:
Entry from Alexandria: a geometry-optimized Ba3Ge2Au structure (PBE).

As for the density: 5.95 g/cm³.

It has space group P2_1/c (No. 14), with a = 6.652 Å, b = 11.681 Å, c = 11.314 Å, α = 90.00°, β = 106.82° and γ = 90.00°. The inequivalent atoms are Ba at (0.175, 0.231, 0.339), Ba at (0.215, 0.612, 0.974), Ba at (0.301, 0.526, 0.607), Ge at (0.177, 0.511, 0.274), Ge at (0.347, 0.130, 0.631) and Au at (0.386, 0.705, 0.284).


Entry 15:
Entry from Alexandria: a geometry-optimized CoHN structure (PBE).

As for the density: 5.34 g/cm³. For the offset from the most stable computed form, the calculation gives 173 meV per atom.

It has space group Cmcm (No. 63), with a = 3.305 Å, b = 8.383 Å, c = 3.321 Å, α = 90.00°, β = 90.00° and γ = 90.00°. The inequivalent atoms are Co at (0.000, 0.231, 0.250), H at (0.000, 0.500, 0.000) and N at (0.000, 0.381, 0.750).


Entry 16:
Entry from Alexandria: a geometry-optimized CsAgB3 structure (PBE).

As for the density: 3.61 g/cm³. For the offset from the most stable computed form, the calculation gives 1310 meV per atom.

It has space group Pm-3m (No. 221), with a = 5.011 Å, b = 5.011 Å, c = 5.011 Å, α = 90.00°, β = 90.00° and γ = 90.00°. The inequivalent atoms are Cs at (0.000, 0.000, 0.000), Ag at (0.500, 0.500, 0.500) and B at (0.000, 0.000, 0.500).


Entry 17:
Entry from Alexandria: a geometry-optimized TiBe2I8 structure (PBE).

As for the density: 4.01 g/cm³. The energy relative to the elements, uncorrected comes out at -0.56 eV/atom.

It has space group C2/m (No. 12), with a = 13.680 Å, b = 10.065 Å, c = 6.506 Å, α = 90.00°, β = 91.19° and γ = 90.00°. The inequivalent atoms are Ti at (0.000, 0.000, 0.000), Be at (0.177, 0.000, 0.627), I at (0.085, 0.191, 0.760), I at (0.159, 0.500, 0.279) and I at (0.172, 0.000, 0.251).


Entry 18:
Entry from Alexandria: a geometry-optimized Sb2MoBr structure (PBE).

As for the density: 7.43 g/cm³. For the offset from the most stable computed form, the calculation gives 0 meV per atom. The energy relative to the elements, uncorrected comes out at 0.08 eV/atom.

It has space group R-3m (No. 166, hexagonal axes), with a = 3.5227 Å, b = 3.5227 Å, c = 26.1647 Å, α = 90.00°, β = 90.00° and γ = 120.00°. The inequivalent atoms are Sb at (0.0000, 0.0000, 0.2384), Mo at (0.0000, 0.0000, 0.5000) and Br at (0.0000, 0.0000, 0.0000).


Entry 19:
Entry from Alexandria: a geometry-optimized KBaH2 structure (PBE).

As for the density: 3.01 g/cm³. For the offset from the most stable computed form, the calculation gives 51 meV per atom.

It has space group R3m (No. 160, hexagonal axes), with a = 3.9956 Å, b = 3.9956 Å, c = 21.3949 Å, α = 90.00°, β = 90.00° and γ = 120.00°. The inequivalent atoms are K at (0.0000, 0.0000, 0.0000), Ba at (0.0000, 0.0000, 0.8278), H at (0.0000, 0.0000, 0.4130) and H at (0.0000, 0.0000, 0.5783).


Entry 20:
Entry from Alexandria: a geometry-optimized Mg8Rh2Au structure (PBE).

As for the density: 4.88 g/cm³.

It has space group C2/m (No. 12), with a = 14.621 Å, b = 4.452 Å, c = 6.784 Å, α = 90.00°, β = 113.00° and γ = 90.00°. The inequivalent atoms are Mg at (0.033, 0.000, 0.236), Mg at (0.120, 0.500, 0.950), Mg at (0.166, 0.000, 0.729), Mg at (0.174, 0.500, 0.418), Rh at (0.203, 0.000, 0.158) and Au at (0.000, 0.500, 0.500).


Entry 21:
Entry from Alexandria: a geometry-optimized Zn2HgBi2 structure (PBE).

As for the density: 9.02 g/cm³. For the offset from the most stable computed form, the calculation gives 91 meV per atom.

It has space group I4/mmm (No. 139), with a = 4.726 Å, b = 4.726 Å, c = 12.350 Å, α = 90.00°, β = 90.00° and γ = 90.00°. The inequivalent atoms are Zn at (0.000, 0.000, 0.098), Hg at (0.000, 0.000, 0.500) and Bi at (0.000, 0.500, 0.250).


Entry 22:
Entry from Alexandria: a geometry-optimized FeMoI2N structure (PBE).

As for the density: 5.84 g/cm³. For the offset from the most stable computed form, the calculation gives 0 meV per atom. The energy relative to the elements, uncorrected comes out at 0.78 eV/atom.

It has space group P4/mmm (No. 123), with a = 5.592 Å, b = 5.592 Å, c = 3.816 Å, α = 90.00°, β = 90.00° and γ = 90.00°. The inequivalent atoms are Fe at (0.000, 0.000, 0.000), Mo at (0.500, 0.500, 0.500), I at (0.000, 0.500, 0.500) and N at (0.500, 0.500, 0.000).


Entry 23:
Entry from Alexandria: a geometry-optimized LiTeSeN2 structure (PBE).

As for the density: 4.48 g/cm³. For the offset from the most stable computed form, the calculation gives 0 meV per atom. The energy relative to the elements, uncorrected comes out at 0.99 eV/atom.

It has space group P4/mmm (No. 123), with a = 3.987 Å, b = 3.987 Å, c = 5.629 Å, α = 90.00°, β = 90.00° and γ = 90.00°. The inequivalent atoms are Li at (0.000, 0.000, 0.000), Te at (0.500, 0.500, 0.500), Se at (0.500, 0.500, 0.000) and N at (0.000, 0.500, 0.500).


These records have electronic total energy values of -25.69 -28.08 -101.28 -88.81 -27.82 -38.46 -22.74 -63.35 -49.60 -88.53 -122.94 -49.47 -85.10 -86.37 -71.03 -7.05 -67.87 -61.33 -31.08 -69.88 -19.63 -26.81 -20.27 eV for the cell shown, in the order they appear.